# CoTcN2O

CoTcN2O after structural relaxation (GGA+U, the Alexandria database).

Properties
- mass density (Mg/m³) = 7.100
- total magnetization (μB per formula unit) = 0.00
- raw total energy (eV/f.u.) = -31.747

Lattice parameters (Å, degrees): 3.615 3.615 3.595 90.00 90.00 90.00
Space group P4/mmm (No. 123)
Asymmetric unit:
Co  0.000  0.000  0.000 (multiplicity 1)
Tc  0.500  0.500  0.500 (multiplicity 1)
N  0.000  0.500  0.000 (multiplicity 2)
O  0.000  0.000  0.500 (multiplicity 1)